# 1
Here is a relaxed structure of CaAl2Cu from Alexandria via LeMat-Bulk. Energies are from GGA-PBE.

Lattice parameters (Å, degrees): 4.127 4.127 4.500 90.00 90.00 90.00
Positions (direct):
Ca 0.500 0.000 0.500
Al 0.000 0.000 0.000
Al 0.500 0.500 0.000
Cu 0.000 0.500 0.500

Calculated values
Magnetization: 0.00 μB/f.u.
ΔH_f (0 K): -0.033 eV per atom
Space-group type: P4/mmm (123)
Uncorrected energy: -13.72 eV for the cell shown

=====

# 2
Here is a relaxed structure of CaAl2Cu from Alexandria via LeMat-Bulk. Energies are from GGA-PBE.

Lattice parameters (Å, degrees): 6.079 6.079 6.079 40.41 40.41 40.41
Positions (direct):
Ca 0.250 0.250 0.250
Al 0.044 0.044 0.044
Al 0.456 0.456 0.456
Cu 0.750 0.750 0.750

Calculated values
Magnetization: 0.00 μB/f.u.
ΔH_f (0 K): -0.229 eV per atom
Space-group type: R-3m (166)
Uncorrected energy: -14.50 eV for the cell shown

=====

# 3
Here is a relaxed structure of Ca4AlCu3 from Alexandria via LeMat-Bulk. Energies are from GGA-PBE.

Lattice parameters (Å, degrees): 4.208 4.337 10.996 90.00 90.00 90.00
Positions (direct):
Ca 0.500 0.500 0.363
Ca 0.000 0.500 0.848
Ca 0.000 0.000 0.147
Ca 0.500 0.000 0.640
Al 0.500 0.500 0.056
Cu 0.000 0.500 0.559
Cu 0.000 0.000 0.445
Cu 0.500 0.000 0.942

Calculated values
Magnetization: 0.00 μB/f.u.
ΔH_f (0 K): -0.154 eV per atom
Space-group type: Pmm2 (25)
Uncorrected energy: -25.27 eV for the cell shown